PBE-GGA NbNi2H, relaxed; N(E_F) = 0.91 states/eV/atom; relative energy among the computed polymorphs = 0.214 eV per atom
1.0
2.7255 0.0000 0.0000
1.3628 2.3604 0.0000
1.3628 0.7868 7.4961
Ni H Nb
2 1 1
Direct
0.0694 0.0694 0.7918
0.9306 0.9306 0.2082
0.0000 0.0000 0.0000
0.5000 0.5000 0.5000

=====

PBE-GGA RbCuSn2Pb, relaxed; N(E_F) = 0.84 states/eV/atom; formation energy from the elements = 1.607 eV/atom
1.0
-5.5414 2.0140 1.6838
1.5734 -0.6619 5.9696
2.1159 5.7546 0.0804
Pb Cu Rb Sn
1 1 1 2
Direct
0.0000 0.5000 0.0000
0.5000 0.5000 0.5000
0.0000 0.0000 0.0000
0.5000 0.0000 0.0000
0.0000 0.0000 0.5000

=====

PBE-GGA Nb2HgPd9, relaxed; N(E_F) = 0.30 states/eV/atom; formation energy from the elements = -0.355 eV/atom
1.0
3.9905 0.0000 0.0000
0.0000 3.9905 0.0000
0.0000 0.0000 12.0873
Nb Pd Hg
2 9 1
Direct
0.0000 0.0000 0.6707
0.0000 0.0000 0.3293
0.5000 0.5000 0.3394
0.5000 0.5000 0.6606
0.0000 0.5000 0.5000
0.5000 0.0000 0.1780
0.0000 0.5000 0.1780
0.5000 0.5000 0.0000
0.0000 0.5000 0.8220
0.5000 0.0000 0.5000
0.5000 0.0000 0.8220
0.0000 0.0000 0.0000

=====

PBE-GGA Pa2CrGe3Ir4, relaxed; N(E_F) = 0.39 states/eV/atom; formation energy from the elements = -0.603 eV/atom
1.0
4.1218 0.0000 0.0000
0.0000 4.1218 0.0000
0.0000 0.0000 10.3873
Pa Ir Ge Cr
2 4 3 1
Direct
0.5000 0.0000 0.2467
0.0000 0.5000 0.7533
0.0000 0.5000 0.3696
0.5000 0.5000 0.0000
0.5000 0.0000 0.6304
0.0000 0.0000 0.0000
0.0000 0.0000 0.5000
0.5000 0.0000 0.8643
0.0000 0.5000 0.1357
0.5000 0.5000 0.5000

=====

PBE-GGA TiInNF2, relaxed; N(E_F) = 1.04 states/eV/atom; relative energy among the computed polymorphs = 0.998 eV per atom
1.0
-0.3482 1.0313 -4.0561
3.4284 -2.2641 -0.8700
-2.4428 -3.4432 -0.6658
F In N Ti
2 1 1 1
Direct
0.0000 0.5000 0.0000
0.5000 0.0000 0.0000
0.0000 0.0000 0.0000
0.0000 0.0000 0.5000
0.5000 0.5000 0.5000

=====

PBE-GGA Sm6Fe2Cu, relaxed; N(E_F) = 1.09 states/eV/atom; formation energy from the elements = 0.013 eV/atom
1.0
-4.5412 7.0521 1.0019
-2.8555 -6.1311 5.0610
8.0763 1.4282 2.0227
Fe Sm Cu
4 12 2
Direct
0.5000 0.3905 0.8905
0.3841 0.0000 0.3841
0.6159 0.0000 0.6159
0.5000 0.6095 0.1095
0.2951 0.9791 0.6840
0.8960 0.7117 0.1843
0.2951 0.6110 0.3160
0.7977 0.7815 0.5793
0.7977 0.2185 0.0162
0.5273 0.7117 0.8157
0.4727 0.2883 0.1843
0.7049 0.0209 0.3160
0.2023 0.7815 0.9838
0.1040 0.2883 0.8157
0.2023 0.2185 0.4207
0.7049 0.3890 0.6840
0.0000 0.5000 0.5000
0.0000 0.0000 0.0000

=====

PBE-GGA Hf3Pt2Au4, relaxed; N(E_F) = 0.62 states/eV/atom; formation energy from the elements = -0.678 eV/atom
1.0
4.9689 0.1373 0.5068
0.7316 7.8929 2.6450
0.3856 -0.5634 8.3285
Pt Hf Au
4 6 8
Direct
0.6832 0.4827 0.7404
0.1832 0.7404 0.4827
0.8168 0.2596 0.5173
0.3168 0.5173 0.2596
0.5783 0.7002 0.9649
0.0783 0.9649 0.7002
0.2500 0.3863 0.6137
0.4217 0.2998 0.0351
0.7500 0.6137 0.3863
0.9217 0.0351 0.2998
0.8702 0.3969 0.1586
0.6298 0.8414 0.6031
0.5236 0.0707 0.8154
0.0236 0.8154 0.0707
0.4764 0.9293 0.1846
0.3702 0.1586 0.3969
0.9764 0.1846 0.9293
0.1298 0.6031 0.8414

=====

PBE-GGA BiIrSeBr2, relaxed; N(E_F) = 0.83 states/eV/atom; relative energy among the computed polymorphs = 0.000 eV per atom
1.0
5.0530 0.0000 0.0000
0.0000 5.0530 0.0000
0.0000 0.0000 4.9762
Ir Bi Br Se
1 1 2 1
Direct
0.0000 0.0000 0.0000
0.5000 0.5000 0.5000
0.5000 0.0000 0.0000
0.0000 0.5000 0.0000
0.0000 0.0000 0.5000

=====

Total DFT energy (no corrections)? In order: -5.982; -1.748; -5.953; -8.394; -5.186; -5.469; -6.795; -3.631 eV per atom.